An optimized crystal structure of BaLa2ZrH. Source: the Alexandria database, functional PBE-GGA.

M_tot in μB/cell: 0.6
Total energy in eV/atom: -3.7682
Space-group type: P4/mmm (123)
Fermi-level density of states in states/eV/cell: 8.13
Crystal system: tetragonal

Unit cell a=6.2738 b=4.0677 c=6.2738 alpha=90.00 beta=90.00 gamma=90.00
Closest atoms and distances in Å follow each position.
Element x y z (fractional)
1 La 0.0000 0.0000 0.5000  2 Ba 3.14
2 Ba 0.0000 0.0000 0.0000  2 H 2.03
3 Zr 0.5000 0.5000 0.5000  8 La 3.74, 2 Zr 4.07
4 La 0.5000 0.0000 0.0000  2 Ba 3.14
5 H 0.0000 0.5000 0.0000  2 Ba 2.03